one | Here is a geometry-optimized SrP4 structure from the Alexandria database. Energies are from PBE.

Properties
Magnetic moment   0.000 μB/atom

Cell lengths 5.385, 5.385, 5.385 Å; angles 99.16, 99.16, 132.97 degrees
Sites, in units of the cell vectors:
Sr (0.000, 0.000, 0.000)
P (0.861, 0.427, 0.288)
P (0.427, 0.139, 0.566)
P (0.139, 0.573, 0.712)
P (0.573, 0.861, 0.434)


two | Here is a geometry-optimized SrP4 structure from the Alexandria database. Energies are from PBE.

Properties
Magnetic moment   0.810 μB/atom

Cell lengths 5.969, 5.969, 5.969 Å; angles 90.00, 90.00, 90.00 degrees
Last column: magnetic moment on the atom in μB.
Sites, in units of the cell vectors:
Sr (0.500, 0.500, 0.500)  -0.07
P (0.000, 0.000, 0.000)  1.01
P (0.500, 0.000, 0.500)  -0.86
P (0.000, 0.500, 0.500)  -0.86
P (0.500, 0.500, 0.000)  -0.86


three | Here is a geometry-optimized SrP4 structure from the Alexandria database. Energies are from PBE.

Properties
Magnetic moment   0.000 μB/atom

Cell lengths 5.520, 5.520, 5.520 Å; angles 109.47, 109.47, 109.47 degrees
Sites, in units of the cell vectors:
Sr (0.000, 0.000, 0.000)
P (0.500, 0.000, 0.000)
P (0.500, 0.500, 0.500)
P (0.000, 0.500, 0.000)
P (0.000, 0.000, 0.500)


What should be chosen as the least stable of them? Choose two.


one | Here is a geometry-optimized Sr5P structure from the Alexandria database. Energies are from PBE.

Properties
Magnetic moment   0.000 μB/atom

Cell lengths 15.160, 15.160, 4.680 Å; angles 90.00, 90.00, 164.78 degrees
Sites, in units of the cell vectors:
Sr (0.913, 0.087, 0.000)
Sr (0.087, 0.913, 0.000)
Sr (0.000, 0.000, 0.500)
Sr (0.313, 0.687, 0.500)
Sr (0.687, 0.313, 0.500)
P (0.500, 0.500, 0.000)


two | Here is a geometry-optimized Sr5P structure from the Alexandria database. Energies are from PBE.

Properties
Magnetic moment   0.000 μB/atom

Cell lengths 9.301, 9.301, 4.222 Å; angles 90.00, 90.00, 120.00 degrees
Sites, in units of the cell vectors:
Sr (0.765, 0.000, 0.000)
Sr (0.235, 0.235, 0.000)
Sr (0.000, 0.765, 0.000)
Sr (0.667, 0.333, 0.500)
Sr (0.333, 0.667, 0.500)
P (0.000, 0.000, 0.500)


What should be chosen as the least stable of them? Choose two.


one | Here is a geometry-optimized Sr5P structure from the Alexandria database. Energies are from PBE.

Properties
Magnetic moment   0.000 μB/atom

Cell lengths 7.223, 7.223, 6.939 Å; angles 90.00, 90.00, 120.00 degrees
Sites, in units of the cell vectors:
Sr (0.333, 0.667, 0.000)
Sr (0.667, 0.333, 0.000)
Sr (0.500, 0.000, 0.500)
Sr (0.000, 0.500, 0.500)
Sr (0.500, 0.500, 0.500)
P (0.000, 0.000, 0.000)


two | Here is a geometry-optimized Sr5P structure from the Alexandria database. Energies are from PBE.

Properties
Magnetic moment   0.000 μB/atom

Cell lengths 7.441, 7.441, 10.278 Å; angles 64.85, 64.85, 31.31 degrees
Sites, in units of the cell vectors:
Sr (0.168, 0.168, 0.230)
Sr (0.832, 0.832, 0.770)
Sr (0.888, 0.888, 0.391)
Sr (0.500, 0.500, 0.000)
Sr (0.112, 0.112, 0.609)
P (0.500, 0.500, 0.500)


What should be chosen as the least stable of them? Choose one.


one | Here is a geometry-optimized SrTaP2 structure from the Alexandria database. Energies are from PBE.

Properties
Magnetic moment   0.000 μB/atom

Cell lengths 7.442, 7.442, 7.442 Å; angles 153.67, 152.21, 38.66 degrees
Sites, in units of the cell vectors:
P (0.074, 0.074, 0.000)
P (0.770, 0.270, 0.500)
Sr (0.454, 0.454, 0.000)
Ta (0.202, 0.702, 0.500)


two | Here is a geometry-optimized SrTaP2 structure from the Alexandria database. Energies are from PBE.

Properties
Magnetic moment   0.000 μB/atom

Cell lengths 4.869, 3.971, 4.869 Å; angles 90.00, 90.00, 90.00 degrees
Sites, in units of the cell vectors:
P (0.000, 0.000, 0.875)
P (0.500, 0.000, 0.375)
Sr (0.000, 0.500, 0.375)
Ta (0.500, 0.000, 0.874)


What should be chosen as the least stable of them? Choose two.


one | Here is a geometry-optimized SrTaP2 structure from the Alexandria database. Energies are from PBE.

Properties
Magnetic moment   0.223 μB/atom

Cell lengths 5.469, 5.469, 5.469 Å; angles 141.05, 109.04, 84.04 degrees
Last column: magnetic moment on the atom in μB.
Sites, in units of the cell vectors:
P (0.043, 0.043, 0.000)  -0.01
P (0.457, 0.457, 0.000)  -0.01
Sr (0.750, 0.250, 0.500)  0.03
Ta (0.250, 0.750, 0.500)  0.53


two | Here is a geometry-optimized SrTaP2 structure from the Alexandria database. Energies are from PBE.

Properties
Magnetic moment   0.331 μB/atom

Cell lengths 4.772, 4.772, 4.772 Å; angles 60.00, 60.00, 60.00 degrees
Last column: magnetic moment on the atom in μB.
Sites, in units of the cell vectors:
Sr (0.000, 0.000, 0.000)  0.07
P (0.250, 0.250, 0.250)  -0.07
P (0.750, 0.750, 0.750)  -0.07
Ta (0.500, 0.500, 0.500)  0.96


three | Here is a geometry-optimized SrTaP2 structure from the Alexandria database. Energies are from PBE.

Properties
Magnetic moment   0.000 μB/atom

Cell lengths 3.746, 3.746, 7.218 Å; angles 74.98, 74.98, 60.01 degrees
Sites, in units of the cell vectors:
P (0.015, 0.015, 0.955)
P (0.485, 0.485, 0.545)
Sr (0.250, 0.250, 0.250)
Ta (0.750, 0.750, 0.750)


What should be chosen as the least stable of them? Choose two.


one | Here is a geometry-optimized SrTaP2 structure from the Alexandria database. Energies are from PBE.

Properties
Magnetic moment   0.000 μB/atom

Cell lengths 3.703, 3.703, 7.412 Å; angles 75.52, 75.52, 59.98 degrees
Sites, in units of the cell vectors:
P (0.068, 0.068, 0.795)
P (0.267, 0.267, 0.200)
Sr (0.496, 0.496, 0.511)
Ta (0.669, 0.669, 0.993)


two | Here is a geometry-optimized SrTaP2 structure from the Alexandria database. Energies are from PBE.

Properties
Magnetic moment   0.000 μB/atom

Cell lengths 3.693, 3.693, 6.943 Å; angles 90.00, 90.00, 90.00 degrees
Sites, in units of the cell vectors:
P (0.000, 0.000, 0.875)
P (0.500, 0.500, 0.262)
Sr (0.000, 0.000, 0.431)
Ta (0.500, 0.500, 0.932)


What should be chosen as the least stable of them? Choose two.


one | Here is a geometry-optimized SrTaP2 structure from the Alexandria database. Energies are from PBE.

Properties
Magnetic moment   0.000 μB/atom

Cell lengths 6.318, 6.318, 7.382 Å; angles 64.66, 64.66, 90.00 degrees
Sites, in units of the cell vectors:
Sr (0.500, 0.500, 0.000)
Sr (0.250, 0.750, 0.500)
P (0.710, 0.125, 0.250)
P (0.040, 0.625, 0.250)
P (0.375, 0.290, 0.750)
P (0.875, 0.960, 0.750)
Ta (0.000, 0.000, 0.000)
Ta (0.750, 0.250, 0.500)


two | Here is a geometry-optimized SrTaP2 structure from the Alexandria database. Energies are from PBE.

Properties
Magnetic moment   0.000 μB/atom

Cell lengths 5.950, 5.950, 5.950 Å; angles 141.63, 141.63, 55.39 degrees
Sites, in units of the cell vectors:
P (0.000, 0.000, 0.000)
P (0.250, 0.750, 0.500)
Sr (0.500, 0.500, 0.000)
Ta (0.750, 0.250, 0.500)


three | Here is a geometry-optimized SrTaP2 structure from the Alexandria database. Energies are from PBE.

Properties
Magnetic moment   0.000 μB/atom

Cell lengths 3.256, 3.262, 7.844 Å; angles 65.59, 90.00, 90.00 degrees
Sites, in units of the cell vectors:
P (0.000, 0.054, 0.945)
P (0.000, 0.446, 0.555)
Sr (0.500, 0.250, 0.250)
Ta (0.500, 0.750, 0.750)


four | Here is a geometry-optimized SrTaP2 structure from the Alexandria database. Energies are from PBE.

Properties
Magnetic moment   0.044 μB/atom

Cell lengths 4.739, 4.739, 4.739 Å; angles 60.00, 60.00, 60.00 degrees
Last column: magnetic moment on the atom in μB.
Sites, in units of the cell vectors:
P (0.000, 0.000, 0.000)  -0.01
P (0.250, 0.250, 0.250)  -0.01
Sr (0.500, 0.500, 0.500)  0.01
Ta (0.750, 0.750, 0.750)  0.14


What should be chosen as the least stable of them? Choose four.


one | Here is a geometry-optimized Sr3TaP structure from the Alexandria database. Energies are from PBE.

Properties
Magnetic moment   0.000 μB/atom

Cell lengths 5.717, 5.717, 5.717 Å; angles 90.00, 90.00, 90.00 degrees
Sites, in units of the cell vectors:
Sr (0.000, 0.500, 0.000)
Sr (0.000, 0.000, 0.500)
Sr (0.500, 0.000, 0.000)
P (0.500, 0.500, 0.500)
Ta (0.000, 0.000, 0.000)


two | Here is a geometry-optimized Sr3TaP structure from the Alexandria database. Energies are from PBE.

Properties
Magnetic moment   1.153 μB/atom

Cell lengths 5.815, 5.815, 5.815 Å; angles 90.00, 90.00, 90.00 degrees
Last column: magnetic moment on the atom in μB.
Sites, in units of the cell vectors:
Sr (0.000, 0.500, 0.000)  0.09
Sr (0.000, 0.000, 0.500)  0.09
Sr (0.500, 0.000, 0.000)  0.09
P (0.000, 0.000, 0.000)  0.06
Ta (0.500, 0.500, 0.500)  2.33


What should be chosen as the least stable of them? Choose one.


one | Here is a geometry-optimized Sr2TcP structure from the Alexandria database. Energies are from PBE.

Properties
Magnetic moment   0.103 μB/atom

Cell lengths 8.677, 8.677, 8.677 Å; angles 27.30, 27.30, 27.30 degrees
Last column: magnetic moment on the atom in μB.
Sites, in units of the cell vectors:
Sr (0.963, 0.963, 0.963)  0.02
Sr (0.787, 0.787, 0.787)  0.02
Tc (0.542, 0.542, 0.542)  0.14
P (0.208, 0.208, 0.208)  0.00


two | Here is a geometry-optimized Sr2TcP structure from the Alexandria database. Energies are from PBE.

Properties
Magnetic moment   0.743 μB/atom

Cell lengths 3.674, 3.975, 7.179 Å; angles 90.00, 90.00, 90.00 degrees
Last column: magnetic moment on the atom in μB.
Sites, in units of the cell vectors:
Sr (0.000, 0.000, 0.726)  0.01
Sr (0.000, 0.000, 0.274)  0.01
Tc (0.500, 0.500, 0.000)  2.44
P (0.500, 0.500, 0.500)  0.04


What should be chosen as the least stable of them? Choose two.


one | Here is a geometry-optimized Sr2TcP structure from the Alexandria database. Energies are from PBE.

Properties
Magnetic moment   0.000 μB/atom

Cell lengths 3.355, 3.355, 9.059 Å; angles 90.00, 90.00, 90.00 degrees
Sites, in units of the cell vectors:
Sr (0.000, 0.000, 0.913)
Sr (0.500, 0.500, 0.328)
Tc (0.000, 0.000, 0.581)
P (0.500, 0.500, 0.679)


two | Here is a geometry-optimized Sr2TcP structure from the Alexandria database. Energies are from PBE.

Properties
Magnetic moment   0.504 μB/atom

Cell lengths 5.031, 5.031, 5.031 Å; angles 60.00, 60.00, 60.00 degrees
Last column: magnetic moment on the atom in μB.
Sites, in units of the cell vectors:
Sr (0.000, 0.000, 0.000)  0.10
Sr (0.750, 0.750, 0.750)  -0.02
Tc (0.250, 0.250, 0.250)  1.61
P (0.500, 0.500, 0.500)  0.01


three | Here is a geometry-optimized Sr2TcP structure from the Alexandria database. Energies are from PBE.

Properties
Magnetic moment   0.984 μB/atom

Cell lengths 4.198, 4.198, 6.583 Å; angles 90.00, 90.00, 90.00 degrees
Last column: magnetic moment on the atom in μB.
Sites, in units of the cell vectors:
Sr (0.000, 0.000, 0.932)  0.03
Sr (0.500, 0.500, 0.310)  0.04
Tc (0.000, 0.000, 0.489)  2.97
P (0.500, 0.500, 0.769)  0.16


four | Here is a geometry-optimized Sr2TcP structure from the Alexandria database. Energies are from PBE.

Properties
Magnetic moment   0.762 μB/atom

Cell lengths 6.097, 6.097, 6.097 Å; angles 137.17, 137.17, 62.17 degrees
Last column: magnetic moment on the atom in μB.
Sites, in units of the cell vectors:
Sr (0.000, 0.000, 0.000)  -0.02
Sr (0.250, 0.750, 0.500)  0.02
Tc (0.500, 0.500, 0.000)  2.53
P (0.750, 0.250, 0.500)  0.06


What should be chosen as the least stable of them? Choose three.


one | Here is a geometry-optimized Sr2TcP structure from the Alexandria database. Energies are from PBE.

Properties
Magnetic moment   0.549 μB/atom

Cell lengths 4.825, 4.825, 4.254 Å; angles 90.00, 90.00, 90.00 degrees
Last column: magnetic moment on the atom in μB.
Sites, in units of the cell vectors:
Sr (0.500, 0.000, 0.000)  -0.01
Sr (0.000, 0.500, 0.000)  -0.01
Tc (0.500, 0.500, 0.500)  1.94
P (0.000, 0.000, 0.500)  -0.01


two | Here is a geometry-optimized Sr2TcP structure from the Alexandria database. Energies are from PBE.

Properties
Magnetic moment   0.000 μB/atom

Cell lengths 6.270, 6.270, 5.143 Å; angles 65.78, 65.78, 36.14 degrees
Sites, in units of the cell vectors:
Sr (0.036, 0.036, 0.965)
Sr (0.242, 0.242, 0.258)
Tc (0.415, 0.415, 0.585)
P (0.808, 0.808, 0.692)


three | Here is a geometry-optimized Sr2TcP structure from the Alexandria database. Energies are from PBE.

Properties
Magnetic moment   0.515 μB/atom

Cell lengths 5.439, 5.439, 3.458 Å; angles 90.00, 90.00, 103.08 degrees
Last column: magnetic moment on the atom in μB.
Sites, in units of the cell vectors:
Sr (0.500, 0.000, 0.000)  -0.01
Sr (0.000, 0.500, 0.000)  -0.01
Tc (0.000, 0.000, 0.500)  1.90
P (0.500, 0.500, 0.500)  -0.06


What should be chosen as the least stable of them? Choose three.